Entry 1
Here is a relaxed Cs2ZnAg crystal from the Alexandria database. Energies are from PBE.

Computed properties:
The value obtained for the total magnetization is 0.0 μB per cell.

a = 6.4281 Å, b = 6.4281 Å, c = 6.4281 Å
α = 60.00°, β = 60.00°, γ = 60.00°
Element x y z (fractional)
Cs  0.2500  0.2500  0.2500
Cs  0.7500  0.7500  0.7500
Zn  0.0000  0.0000  0.0000
Ag  0.5000  0.5000  0.5000

Entry 2
Here is a relaxed Cs2ZnAg crystal from the Alexandria database. Energies are from PBE.

Computed properties:
The value obtained for the total magnetization is 0.0 μB per cell.

a = 4.5806 Å, b = 4.5806 Å, c = 9.0682 Å
α = 90.00°, β = 90.00°, γ = 90.00°
Element x y z (fractional)
Cs  0.0000  0.0000  0.2385
Cs  0.0000  0.0000  0.7615
Zn  0.5000  0.5000  0.5000
Ag  0.5000  0.5000  0.0000

Last place for stability: entry 1

Entry 1
Here is a relaxed Cs2ZnAg crystal from the Alexandria database. Energies are from PBE.

Computed properties:
The value obtained for the total magnetization is 0.0 μB per cell.

a = 8.2670 Å, b = 8.2670 Å, c = 8.2670 Å
α = 104.66°, β = 104.66°, γ = 119.60°
Element x y z (fractional)
Cs  0.1151  0.6250  0.9901
Cs  0.3750  0.3651  0.4901
Cs  0.6349  0.1250  0.0099
Cs  0.8750  0.8849  0.5099
Zn  0.2500  0.7500  0.5000
Zn  0.5000  0.5000  0.0000
Ag  0.0000  0.0000  0.0000
Ag  0.7500  0.2500  0.5000

Entry 2
Here is a relaxed Cs2ZnAg crystal from the Alexandria database. Energies are from PBE.

Computed properties:
The value obtained for the total magnetization is 0.0 μB per cell.

a = 4.8428 Å, b = 4.8428 Å, c = 10.3862 Å
α = 103.58°, β = 103.58°, γ = 59.99°
Element x y z (fractional)
Cs  0.0000  0.0000  0.0000
Cs  0.1741  0.1741  0.5165
Zn  0.7537  0.7537  0.2583
Ag  0.4205  0.4205  0.2583

Last place for stability: entry 1

Entry 1
Here is a relaxed CsZn3Ag crystal from the Alexandria database. Energies are from PBE.

Computed properties:
The value obtained for the total magnetization is 0.0 μB per cell.

a = 10.4889 Å, b = 4.5698 Å, c = 13.5664 Å
α = 90.00°, β = 90.00°, γ = 90.00°
Element x y z (fractional)
Cs  0.2460  0.2500  0.0030
Cs  0.2540  0.7500  0.5030
Cs  0.7460  0.2500  0.4970
Cs  0.7540  0.7500  0.9970
Zn  0.1066  0.7500  0.2430
Zn  0.1455  0.2500  0.7436
Zn  0.2297  0.2500  0.2637
Zn  0.2703  0.7500  0.7637
Zn  0.3545  0.7500  0.2436
Zn  0.3934  0.2500  0.7430
Zn  0.6066  0.7500  0.2570
Zn  0.6455  0.2500  0.7564
Zn  0.7297  0.2500  0.2363
Zn  0.7703  0.7500  0.7363
Zn  0.8545  0.7500  0.2564
Zn  0.8934  0.2500  0.7570
Ag  0.0199  0.7500  0.7545
Ag  0.4801  0.2500  0.2545
Ag  0.5199  0.7500  0.7455
Ag  0.9801  0.2500  0.2455

Entry 2
Here is a relaxed CsZn3Ag crystal from the Alexandria database. Energies are from PBE.

Computed properties:
The value obtained for the total magnetization is 0.0 μB per cell.

a = 6.8537 Å, b = 6.8537 Å, c = 6.8537 Å
α = 90.00°, β = 90.00°, γ = 90.00°
Element x y z (fractional)
Cs  0.0000  0.0000  0.0000
Zn  0.0000  0.0000  0.5000
Zn  0.0000  0.5000  0.0000
Zn  0.5000  0.0000  0.0000
Ag  0.5000  0.5000  0.5000

Entry 3
Here is a relaxed CsZn3Ag crystal from the Alexandria database. Energies are from PBE.

Computed properties:
The value obtained for the total magnetization is 0.0 μB per cell.

a = 5.1971 Å, b = 5.1971 Å, c = 5.1971 Å
α = 90.00°, β = 90.00°, γ = 90.00°
Element x y z (fractional)
Cs  0.0000  0.0000  0.0000
Zn  0.0000  0.5000  0.5000
Zn  0.5000  0.0000  0.5000
Zn  0.5000  0.5000  0.0000
Ag  0.5000  0.5000  0.5000

Last place for stability: entry 2

Entry 1
Here is a relaxed CuAg2 crystal from the Alexandria database. Energies are from PBE.

Computed properties:
The value obtained for the total magnetization is 0.0 μB per cell.

a = 4.3861 Å, b = 4.3861 Å, c = 2.9085 Å
α = 90.00°, β = 90.00°, γ = 90.00°
Element x y z (fractional)
Cu  0.0000  0.0000  0.0000
Ag  0.0000  0.5000  0.5000
Ag  0.5000  0.0000  0.5000

Entry 2
Here is a relaxed CuAg2 crystal from the Alexandria database. Energies are from PBE.

Computed properties:
The value obtained for the total magnetization is 0.0 μB per cell.

a = 4.9557 Å, b = 4.9557 Å, c = 7.7776 Å
α = 112.79°, β = 112.79°, γ = 33.40°
Element x y z (fractional)
Cu  0.1844  0.1844  0.0827
Cu  0.8156  0.8156  0.9173
Ag  0.1640  0.1640  0.5902
Ag  0.4955  0.4955  0.7798
Ag  0.5045  0.5045  0.2202
Ag  0.8360  0.8360  0.4098

Last place for stability: entry 1

Entry 1
Here is a relaxed CuAg5 crystal from the Alexandria database. Energies are from PBE.

Computed properties:
The value obtained for the total magnetization is 0.0 μB per cell.

a = 5.4262 Å, b = 5.4262 Å, c = 5.4262 Å
α = 60.00°, β = 60.00°, γ = 60.00°
Element x y z (fractional)
Cu  0.0000  0.0000  0.0000
Ag  0.1246  0.6251  0.6251
Ag  0.2500  0.2500  0.2500
Ag  0.6251  0.1246  0.6251
Ag  0.6251  0.6251  0.1246
Ag  0.6251  0.6251  0.6251

Entry 2
Here is a relaxed CuAg5 crystal from the Alexandria database. Energies are from PBE.

Computed properties:
The value obtained for the total magnetization is 0.0 μB per cell.

a = 5.4445 Å, b = 5.4445 Å, c = 5.4445 Å
α = 128.68°, β = 119.02°, γ = 83.67°
Element x y z (fractional)
Cu  0.0000  0.0000  0.0000
Ag  0.0821  0.3330  0.7492
Ag  0.4162  0.6670  0.7492
Ag  0.5000  0.0000  0.5000
Ag  0.5838  0.3330  0.2508
Ag  0.9179  0.6670  0.2508

Entry 3
Here is a relaxed CuAg5 crystal from the Alexandria database. Energies are from PBE.

Computed properties:
The value obtained for the total magnetization is 0.0 μB per cell.

a = 5.5488 Å, b = 5.5488 Å, c = 6.8867 Å
α = 105.84°, β = 105.84°, γ = 30.29°
Element x y z (fractional)
Cu  0.0000  0.0000  0.0000
Ag  0.2921  0.2921  0.0636
Ag  0.3318  0.3318  0.6717
Ag  0.6104  0.6104  0.7466
Ag  0.6623  0.6623  0.3170
Ag  0.9511  0.9511  0.4004

Last place for stability: entry 1

Entry 1
Here is a relaxed CuAg5 crystal from the Alexandria database. Energies are from PBE.

Computed properties:
The value obtained for the total magnetization is 0.0 μB per cell.

a = 4.7219 Å, b = 7.7050 Å, c = 7.7050 Å
α = 21.51°, β = 90.00°, γ = 90.00°
Element x y z (fractional)
Cu  0.0000  0.0000  0.0000
Ag  0.0000  0.3385  0.3385
Ag  0.0000  0.6608  0.6608
Ag  0.5000  0.2241  0.2241
Ag  0.5000  0.5541  0.5541
Ag  0.5000  0.8928  0.8928

Entry 2
Here is a relaxed CuAg5 crystal from the Alexandria database. Energies are from PBE.

Computed properties:
The value obtained for the total magnetization is 0.0 μB per cell.

a = 5.3945 Å, b = 5.3945 Å, c = 4.7781 Å
α = 90.00°, β = 90.00°, γ = 120.00°
Element x y z (fractional)
Cu  0.0000  0.0000  0.0000
Ag  0.0000  0.5000  0.5000
Ag  0.3333  0.6667  0.0000
Ag  0.5000  0.0000  0.5000
Ag  0.5000  0.5000  0.5000
Ag  0.6667  0.3333  0.0000

Last place for stability: entry 2